A plane-wave DFT calculation with GGA-PBE was carried out for LaRe2Mo after structural relaxation.

Cell lengths 3.167, 3.167, 7.624 Å; angles 90.00, 90.00, 90.00 degrees
Atoms (fractional coordinates):
La  0.500  0.500  0.250
Mo  0.500  0.500  0.750
Re  0.000  0.000  0.942
Re  0.000  0.000  0.558

A plane-wave DFT calculation with GGA-PBE was carried out for YTm3Sc2 after structural relaxation.

Cell lengths 5.402, 8.575, 8.575 Å; angles 111.44, 90.00, 90.00 degrees
Atoms (fractional coordinates):
Y  0.993  0.723  0.723
Y  0.493  0.277  0.277
Tm  0.993  0.890  0.373
Tm  0.493  0.627  0.110
Tm  0.993  0.373  0.890
Tm  0.493  0.110  0.627
Tm  0.493  0.906  0.906
Tm  0.993  0.094  0.094
Sc  0.493  0.702  0.487
Sc  0.993  0.513  0.298
Sc  0.493  0.487  0.702
Sc  0.993  0.298  0.513

Number 1: total magnetization 0.00 μB/f.u., calculated volume 19.115 A^3/atom, distance to the lowest polymorph of the same formula 0.000 eV per atom. Number 2: total magnetization 0.00 μB/f.u., calculated volume 30.805 A^3/atom, distance to the lowest polymorph of the same formula 0.159 eV per atom.